Crystalline SrInB3 at its relaxed geometry. Source: Alexandria, functional GGA-PBE.

The structure belongs to space group Pm-3m (No. 221); the cell edges are 5.001, 5.001 and 5.001 Å and the angles 90.00°, 90.00° and 90.00°. The distinct sites, in fractional coordinates, are Sr at (0.000, 0.000, 0.000), In at (0.500, 0.500, 0.500) and B at (0.000, 0.000, 0.500).

The calculation puts the magnetization at 0.00 μB per formula unit. Its crystal system is cubic. The final energy comes out at -11.43 eV/f.u. The calculation puts the formation energy at 2.60 eV per atom.